1.
A plane-wave DFT calculation with GGA-PBE was carried out for an optimized crystal structure of Nd4CdAg.

Structure (extended XYZ):
```
12
Lattice="6.337 0.000 0.000 0.000 9.596 0.000 -1.890 0.000 5.953" Properties=species:S:1:pos:R:3 pbc="T T T"
Nd 0.401 1.577 0.588
Nd -0.545 3.221 3.565
Nd 0.791 6.316 5.471
Nd 1.736 8.079 2.495
Nd 2.711 1.518 3.458
Nd 3.656 3.281 0.481
Nd 4.991 6.375 2.388
Nd 4.046 8.019 5.364
Cd 3.168 0.000 0.000
Cd 2.223 4.798 2.976
Ag -0.945 0.000 2.976
Ag 0.000 4.798 0.000
```

## Properties
ΔE_f ... -0.038 eV/atom
Energy above the most stable polymorph in this dataset ... 133.9 meV/atom
Fermi-level density of states ... 12.409 states/eV/cell
Total magnetic moment ... 0.00 μB/f.u.



2.
A plane-wave DFT calculation with GGA-PBE was carried out for an optimized crystal structure of LiRuRh2.

Structure (extended XYZ):
```
4
Lattice="-1.850 1.850 3.931 1.850 -1.850 3.931 1.850 1.850 -3.931" Properties=species:S:1:pos:R:3 pbc="T T T"
Li 0.000 0.000 0.000
Ru 0.000 1.850 1.966
Rh 1.850 0.000 1.966
Rh 0.000 0.000 3.931
```

## Properties
ΔE_f ... 0.048 eV/atom
Energy above the most stable polymorph in this dataset ... 60.2 meV/atom
Fermi-level density of states ... 4.644 states/eV/cell
Total magnetic moment ... 0.00 μB/f.u.



3.
A plane-wave DFT calculation with GGA-PBE was carried out for an optimized crystal structure of CrGaMoIr.

Structure (extended XYZ):
```
4
Lattice="0.000 3.049 3.049 3.049 0.000 3.049 3.049 3.049 0.000" Properties=species:S:1:pos:R:3 pbc="T T T"
Cr 0.000 0.000 0.000
Ga 3.049 3.049 3.049
Mo 1.525 1.525 1.525
Ir 4.574 4.574 4.574
```

## Properties
ΔE_f ... -0.070 eV/atom
Fermi-level density of states ... 5.089 states/eV/cell
Total magnetic moment ... 0.76 μB/f.u.



4.
A plane-wave DFT calculation with GGA-PBE was carried out for an optimized crystal structure of ScCrMoP2.

Structure (extended XYZ):
```
5
Lattice="4.358 0.000 0.000 0.000 4.358 0.000 0.000 0.000 4.661" Properties=species:S:1:pos:R:3 pbc="T T T"
Sc 0.000 0.000 0.000
Cr 2.179 2.179 2.330
Mo 2.179 2.179 0.000
P 0.000 2.179 2.330
P 2.179 0.000 2.330
```

## Properties
ΔE_f ... 0.382 eV/atom
Fermi-level density of states ... 4.708 states/eV/cell
Total magnetic moment ... 0.00 μB/f.u.



5.
A plane-wave DFT calculation with GGA-PBE was carried out for an optimized crystal structure of Ba6GaPd.

Structure (extended XYZ):
```
8
Lattice="7.684 4.436 2.593 -7.684 4.436 2.593 0.000 -8.872 2.593" Properties=species:S:1:pos:R:3 pbc="T T T"
Ba -2.201 -1.271 1.827
Ba 2.201 -1.271 1.827
Ba 0.000 2.541 1.827
Ba 0.000 -2.541 5.953
Ba -2.201 1.271 5.953
Ba 2.201 1.271 5.953
Ga 0.000 0.000 3.890
Pd 0.000 0.000 0.000
```

## Properties
ΔE_f ... -0.018 eV/atom
Fermi-level density of states ... 11.147 states/eV/cell
Total magnetic moment ... 0.00 μB/f.u.



6.
A plane-wave DFT calculation with GGA-PBE was carried out for an optimized crystal structure of LaPmN2.

Structure (extended XYZ):
```
4
Lattice="3.600 0.000 0.000 -1.800 3.118 0.000 0.000 0.000 6.325" Properties=species:S:1:pos:R:3 pbc="T T T"
La 0.000 0.000 0.000
Pm 0.000 0.000 3.163
N 0.000 2.078 4.705
N 1.800 1.039 1.620
```

## Properties
ΔE_f (raw) ... -1.069 eV/atom
Energy above the most stable polymorph in this dataset ... 300.1 meV/atom
Fermi-level density of states ... 0.335 states/eV/cell
Total magnetic moment ... 0.00 μB/f.u.



7.
A plane-wave DFT calculation with GGA-PBE was carried out for an optimized crystal structure of CrTcIr2.

Structure (extended XYZ):
```
8
Lattice="-1.873 1.873 8.809 1.873 -1.873 8.809 1.873 1.873 -8.809" Properties=species:S:1:pos:R:3 pbc="T T T"
Cr 0.000 0.000 0.000
Cr 0.000 1.873 4.404
Tc 1.873 0.000 4.404
Tc 0.000 0.000 8.809
Ir 2.810 0.902 -2.202
Ir 0.902 0.937 2.202
Ir -0.937 0.971 6.607
Ir 0.971 0.937 11.011
```

## Properties
ΔE_f ... 0.467 eV/atom
Energy above the most stable polymorph in this dataset ... 725.8 meV/atom
Fermi-level density of states ... 9.607 states/eV/cell
Total magnetic moment ... 1.64 μB/f.u.



8.
A plane-wave DFT calculation with GGA-PBE was carried out for an optimized crystal structure of Ce2NdAu.

Structure (extended XYZ):
```
4
Lattice="3.756 0.000 0.000 0.000 3.756 0.000 0.000 0.000 8.244" Properties=species:S:1:pos:R:3 pbc="T T T"
Ce 0.000 0.000 1.688
Ce 0.000 0.000 6.556
Nd 1.878 1.878 4.122
Au 1.878 1.878 0.000
```

## Properties
ΔE_f ... -0.219 eV/atom
Energy above the most stable polymorph in this dataset ... 0.0 meV/atom
Fermi-level density of states ... 12.118 states/eV/cell
Total magnetic moment ... 1.74 μB/f.u.



9.
A plane-wave DFT calculation with GGA-PBE was carried out for an optimized crystal structure of ScAs2Br.

Structure (extended XYZ):
```
4
Lattice="-1.763 2.152 5.543 1.763 -2.152 5.543 1.763 2.152 -5.543" Properties=species:S:1:pos:R:3 pbc="T T T"
Sc 0.000 0.000 0.000
As 1.763 0.000 2.540
As 0.000 2.152 3.004
Br 0.000 0.000 5.543
```

## Properties
ΔE_f (raw) ... -0.441 eV/atom
Energy above the most stable polymorph in this dataset ... 362.0 meV/atom
Fermi-level density of states ... 1.500 states/eV/cell
Total magnetic moment ... 0.00 μB/f.u.



10.
A plane-wave DFT calculation with GGA-PBE was carried out for an optimized crystal structure of Ca2BeCr.

Structure (extended XYZ):
```
4
Lattice="1.843 1.064 9.214 -1.843 1.064 9.214 0.000 -2.129 9.214" Properties=species:S:1:pos:R:3 pbc="T T T"
Ca 0.000 0.000 6.630
Ca 0.000 0.000 21.013
Be 0.000 0.000 13.822
Cr 0.000 0.000 0.000
```

## Properties
ΔE_f ... 0.811 eV/atom
Fermi-level density of states ... 2.561 states/eV/cell
Total magnetic moment ... 4.35 μB/f.u.



11.
A plane-wave DFT calculation with GGA-PBE was carried out for an optimized crystal structure of TlTcCl2.

Structure (extended XYZ):
```
4
Lattice="1.687 -3.064 0.000 1.687 3.064 0.000 0.000 0.000 9.354" Properties=species:S:1:pos:R:3 pbc="T T T"
Tl 0.000 0.000 0.000
Tc 1.687 0.000 2.241
Cl 0.000 0.000 3.876
Cl 1.687 0.000 7.295
```

## Properties
ΔE_f (raw) ... 0.099 eV/atom
Energy above the most stable polymorph in this dataset ... 261.9 meV/atom
Fermi-level density of states ... 1.852 states/eV/cell
Total magnetic moment ... 1.39 μB/f.u.



12.
A plane-wave DFT calculation with GGA-PBE was carried out for an optimized crystal structure of Cs2KIn.

Structure (extended XYZ):
```
4
Lattice="6.522 0.000 0.000 0.000 6.522 0.000 0.000 0.000 5.872" Properties=species:S:1:pos:R:3 pbc="T T T"
Cs 0.000 3.261 0.000
Cs 3.261 0.000 0.000
K 0.000 0.000 2.936
In 3.261 3.261 2.936
```

## Properties
ΔE_f ... 0.120 eV/atom
Energy above the most stable polymorph in this dataset ... 45.6 meV/atom
Fermi-level density of states ... 3.944 states/eV/cell
Total magnetic moment ... 0.49 μB/f.u.



Q: Look up the Fermi-level density of states of the ninth one.
A: 1.500 states/eV/cell



Q: Which formula does entry 12 have?
A: Cs2KIn